! CaAc2Mg3Cd12 PBE relaxed; values from VASP
&SYSTEM
  ibrav = 0, nat = 18, ntyp = 4
/
ATOMIC_SPECIES
Ca 40.08 Ca.upf
Ac 227.00 Ac.upf
Mg 24.30 Mg.upf
Cd 112.41 Cd.upf
ATOMIC_POSITIONS crystal
Ca 0.0000 0.0000 0.0000
Ac 0.7020 0.7020 0.7020
Ac 0.2980 0.2980 0.2980
Mg 0.5000 0.0000 0.0000
Mg 0.0000 0.5000 0.0000
Mg 0.0000 0.0000 0.5000
Cd 0.4113 0.4113 0.8742
Cd 0.7979 0.7979 0.2869
Cd 0.2869 0.7979 0.7979
Cd 0.8742 0.4113 0.4113
Cd 0.7979 0.2869 0.7979
Cd 0.4113 0.8742 0.4113
Cd 0.5887 0.5887 0.1258
Cd 0.2021 0.2021 0.7131
Cd 0.7131 0.2021 0.2021
Cd 0.1258 0.5887 0.5887
Cd 0.2021 0.7131 0.2021
Cd 0.5887 0.1258 0.5887
CELL_PARAMETERS angstrom
-3.7939 1.5314 -6.8031
4.5906 -4.8659 -4.2744
-4.9348 -6.1739 0.7432
! - Formation enthalpy at 0 K: -0.053 eV/atom
! - E: -1.497 eV/atom

! Ca2AcCd2Sn2 PBE relaxed; values from VASP
&SYSTEM
  ibrav = 0, nat = 7, ntyp = 4
/
ATOMIC_SPECIES
Ca 40.08 Ca.upf
Ac 227.00 Ac.upf
Cd 112.41 Cd.upf
Sn 118.71 Sn.upf
ATOMIC_POSITIONS crystal
Ca 0.1367 0.1367 0.5898
Ca 0.8633 0.8633 0.4102
Ac 0.0000 0.0000 0.0000
Cd 0.5654 0.5654 0.3040
Cd 0.4346 0.4346 0.6960
Sn 0.7395 0.7395 0.7816
Sn 0.2605 0.2605 0.2184
CELL_PARAMETERS angstrom
-3.0397 -1.7867 3.6921
-2.2921 -4.5286 -0.5489
5.3616 -6.1910 4.9478
! - Formation enthalpy at 0 K: -0.439 eV/atom
! - E: -3.003 eV/atom

! SrAlNi2 PBE relaxed; values from VASP
&SYSTEM
  ibrav = 0, nat = 4, ntyp = 3
/
ATOMIC_SPECIES
Sr 87.62 Sr.upf
Al 26.98 Al.upf
Ni 58.69 Ni.upf
ATOMIC_POSITIONS crystal
Sr 0.7500 0.7500 0.7500
Al 0.5000 0.5000 0.5000
Ni 0.0000 0.0000 0.0000
Ni 0.2500 0.2500 0.2500
CELL_PARAMETERS angstrom
4.6688 0.0000 0.0000
2.3344 4.0433 0.0000
2.3344 1.3478 3.8121
! - Formation enthalpy at 0 K: 0.353 eV/atom
! - E: -3.894 eV/atom

! UMn4InS8 PBE relaxed; values from VASP
&SYSTEM
  ibrav = 0, nat = 14, ntyp = 4
/
ATOMIC_SPECIES
U 238.03 U.upf
Mn 54.94 Mn.upf
In 114.82 In.upf
S 32.06 S.upf
ATOMIC_POSITIONS crystal
U 0.9972 0.9972 0.0083
Mn 0.6327 0.6327 0.1020
Mn 0.9962 0.5062 0.5013
Mn 0.5062 0.9962 0.5013
Mn 0.9962 0.9962 0.5013
In 0.3653 0.3653 0.9042
S 0.2472 0.7737 0.7319
S 0.7737 0.2472 0.7319
S 0.2472 0.2472 0.7319
S 0.2318 0.2318 0.3046
S 0.7526 0.2389 0.2559
S 0.2389 0.7526 0.2559
S 0.7526 0.7526 0.2559
S 0.7621 0.7621 0.7138
CELL_PARAMETERS angstrom
-5.7420 -1.1754 -4.7524
-5.8952 -4.1822 2.1666
-6.6859 3.2786 1.2769
! - E: -6.671 eV/atom

! Na4Hg15Pb PBE relaxed; values from VASP
&SYSTEM
  ibrav = 0, nat = 20, ntyp = 3
/
ATOMIC_SPECIES
Na 22.99 Na.upf
Hg 200.59 Hg.upf
Pb 207.20 Pb.upf
ATOMIC_POSITIONS crystal
Na 0.0000 0.0000 0.2023
Na 0.0000 0.0000 0.3997
Na 0.0000 0.0000 0.6003
Na 0.0000 0.0000 0.7977
Hg 0.5000 0.5000 0.0000
Hg 0.5000 0.5000 0.2020
Hg 0.5000 0.5000 0.3985
Hg 0.5000 0.5000 0.6015
Hg 0.5000 0.5000 0.7980
Hg 0.5000 0.0000 0.1043
Hg 0.5000 0.0000 0.3001
Hg 0.5000 0.0000 0.5000
Hg 0.5000 0.0000 0.6999
Hg 0.5000 0.0000 0.8957
Hg 0.0000 0.5000 0.1043
Hg 0.0000 0.5000 0.3001
Hg 0.0000 0.5000 0.5000
Hg 0.0000 0.5000 0.6999
Hg 0.0000 0.5000 0.8957
Pb 0.0000 0.0000 0.0000
CELL_PARAMETERS angstrom
4.7468 0.0000 0.0000
0.0000 4.7468 0.0000
0.0000 0.0000 23.2633
! - Formation enthalpy at 0 K: -0.139 eV/atom
! - E: -0.814 eV/atom

! BaHf3Ir PBE relaxed; values from VASP
&SYSTEM
  ibrav = 0, nat = 5, ntyp = 3
/
ATOMIC_SPECIES
Ir 192.22 Ir.upf
Hf 178.49 Hf.upf
Ba 137.33 Ba.upf
ATOMIC_POSITIONS crystal
Ir 0.0000 0.0000 0.0000
Hf 0.0000 0.5000 0.0000
Hf 0.0000 0.0000 0.5000
Hf 0.5000 0.0000 0.0000
Ba 0.5000 0.5000 0.5000
CELL_PARAMETERS angstrom
5.1879 0.0000 0.0000
0.0000 5.1879 0.0000
0.0000 0.0000 5.1879
! - Energy relative to the lowest polymorph listed for this composition: 0 meV/atom
! - Formation enthalpy at 0 K: 0.137 eV/atom
! - E: -7.992 eV/atom

! La2SbN PBE relaxed; values from VASP
&SYSTEM
  ibrav = 0, nat = 4, ntyp = 3
/
ATOMIC_SPECIES
Sb 121.76 Sb.upf
N 14.01 N.upf
La 138.91 La.upf
ATOMIC_POSITIONS crystal
Sb 0.5000 0.5000 0.5000
N 0.0000 0.0000 0.0000
La 0.2500 0.2500 0.2500
La 0.7500 0.7500 0.7500
CELL_PARAMETERS angstrom
0.5050 0.7693 5.1307
-2.6793 3.8099 2.3403
-3.9347 -1.1737 3.2112
! - Energy relative to the lowest polymorph listed for this composition: 1034 meV/atom
! - E: -5.861 eV/atom

! ScSbIr2 PBE relaxed; values from VASP
&SYSTEM
  ibrav = 0, nat = 4, ntyp = 3
/
ATOMIC_SPECIES
Ir 192.22 Ir.upf
Sb 121.76 Sb.upf
Sc 44.96 Sc.upf
ATOMIC_POSITIONS crystal
Ir 0.0000 0.0000 0.9954
Ir 0.0000 0.0000 0.5046
Sb 0.5000 0.5000 0.2500
Sc 0.5000 0.5000 0.7500
CELL_PARAMETERS angstrom
-1.9750 -2.2136 1.0799
2.3468 -0.7487 2.7573
-2.7262 4.1087 3.4361
! - E: -7.496 eV/atom